The following is a DFT calculation (GGA-PBE) of AlCdB2As after structural relaxation.

CIF file:
```
data_AlCdB2As
_chemical_formula_sum 'Al1 Cd1 B2 As1'
_space_group_name_H-M_alt 'P 4/m m m'
_space_group_IT_number 123
_space_group_name_Hall '-P 4 2'
_cell_length_a 4.224
_cell_length_b 4.224
_cell_length_c 5.648
_cell_angle_alpha 90.00
_cell_angle_beta 90.00
_cell_angle_gamma 90.00
loop_
_atom_site_label
_atom_site_type_symbol
_atom_site_fract_x
_atom_site_fract_y
_atom_site_fract_z
Al1 Al 0.000 0.000 0.000
Cd1 Cd 0.500 0.500 0.500
B1 B 0.000 0.500 0.500
As1 As 0.500 0.500 0.000
```

For the total energy, the calculation gives -2.823 eV/atom. For the calculated formation energy, the calculation gives 1709 meV per atom. For the density of states at the Fermi level, the calculation gives 0.63 states/eV per atom. The volume is 20.15 Å³/atom.

The following is a DFT calculation (GGA-PBE) of Tl2Hg2Te3 after structural relaxation.

CIF file:
```
data_Tl2Hg2Te3
_chemical_formula_sum 'Tl8 Hg8 Te12'
_space_group_name_H-M_alt 'P -1'
_space_group_IT_number 2
_cell_length_a 8.126
_cell_length_b 11.962
_cell_length_c 11.964
_cell_angle_alpha 86.04
_cell_angle_beta 70.32
_cell_angle_gamma 70.40
loop_
_space_group_symop_operation_xyz
'x,y,z'
'-x,-y,-z'
loop_
_atom_site_label
_atom_site_type_symbol
_atom_site_fract_x
_atom_site_fract_y
_atom_site_fract_z
Tl1 Tl 0.066 0.472 0.305
Tl2 Tl 0.250 0.923 0.077
Tl3 Tl 0.251 0.217 0.783
Tl4 Tl 0.432 0.696 0.527
Hg1 Hg 0.111 0.044 0.595
Hg2 Hg 0.129 0.706 0.865
Hg3 Hg 0.371 0.136 0.294
Hg4 Hg 0.390 0.405 0.956
Te1 Te 0.157 0.269 0.517
Te2 Te 0.212 0.646 0.085
Te3 Te 0.227 0.920 0.784
Te4 Te 0.273 0.216 0.080
Te5 Te 0.287 0.915 0.354
Te6 Te 0.345 0.483 0.731
```

As for the energy relative to the elements, uncorrected: -0.198 eV per atom. For the total energy, the calculation gives -2.307 eV/atom. The volume is 36.80 Å³/atom. For the energy relative to the lowest polymorph listed for this composition, the calculation gives 0.0000 eV per atom.

The following is a DFT calculation (GGA-PBE) of PPbSeBr2 after structural relaxation.

CIF file:
```
data_PPbSeBr2
_chemical_formula_sum 'P1 Pb1 Se1 Br2'
_space_group_name_H-M_alt 'P 4/m m m'
_space_group_IT_number 123
_space_group_name_Hall '-P 4 2'
_cell_length_a 5.241
_cell_length_b 5.241
_cell_length_c 5.445
_cell_angle_alpha 90.00
_cell_angle_beta 90.00
_cell_angle_gamma 90.00
loop_
_atom_site_label
_atom_site_type_symbol
_atom_site_fract_x
_atom_site_fract_y
_atom_site_fract_z
P1 P 0.000 0.000 0.000
Pb1 Pb 0.500 0.500 0.500
Se1 Se 0.000 0.000 0.500
Br1 Br 0.000 0.500 0.000
```

As for the energy relative to the elements, uncorrected: -0.012 eV per atom. For the total energy, the calculation gives -3.201 eV/atom. For the density of states at the Fermi level, the calculation gives 0.17 states/eV per atom. The volume is 29.91 Å³/atom. For the energy relative to the lowest polymorph listed for this composition, the calculation gives 0.0000 eV per atom.

The following is a DFT calculation (GGA-PBE) of Cu2ReAg after structural relaxation.

CIF file:
```
data_Cu2ReAg
_chemical_formula_sum 'Cu8 Re4 Ag4'
_space_group_name_H-M_alt 'F -4 3 m'
_space_group_IT_number 216
_space_group_name_Hall 'F -4 2 3'
_cell_length_a 6.145
_cell_length_b 6.145
_cell_length_c 6.145
_cell_angle_alpha 90.00
_cell_angle_beta 90.00
_cell_angle_gamma 90.00
loop_
_atom_site_label
_atom_site_type_symbol
_atom_site_fract_x
_atom_site_fract_y
_atom_site_fract_z
Cu1 Cu 0.000 0.000 0.000
Cu2 Cu 0.250 0.250 0.250
Re1 Re 0.250 0.250 0.750
Ag1 Ag 0.000 0.000 0.500
```

For the total energy, the calculation gives -5.085 eV/atom. For the calculated formation energy, the calculation gives 788 meV per atom. For the density of states at the Fermi level, the calculation gives 1.10 states/eV per atom. The volume is 14.51 Å³/atom. For the energy relative to the lowest polymorph listed for this composition, the calculation gives 0.5254 eV per atom.

The following is a DFT calculation (GGA-PBE) of BeFe2SBr after structural relaxation.

CIF file:
```
data_BeFe2SBr
_chemical_formula_sum 'Be1 Fe2 S1 Br1'
_space_group_name_H-M_alt 'P 4/m m m'
_space_group_IT_number 123
_space_group_name_Hall '-P 4 2'
_cell_length_a 4.140
_cell_length_b 4.140
_cell_length_c 6.766
_cell_angle_alpha 90.00
_cell_angle_beta 90.00
_cell_angle_gamma 90.00
loop_
_atom_site_label
_atom_site_type_symbol
_atom_site_fract_x
_atom_site_fract_y
_atom_site_fract_z
Be1 Be 0.000 0.000 0.000
Fe1 Fe 0.000 0.500 0.500
S1 S 0.500 0.500 0.500
Br1 Br 0.500 0.500 0.000
```

As for the energy relative to the elements, uncorrected: 0.815 eV per atom. For the total energy, the calculation gives -4.475 eV/atom. For the density of states at the Fermi level, the calculation gives 1.23 states/eV per atom. The volume is 23.20 Å³/atom.

The following is a DFT calculation (GGA-PBE) of Cd2InHg after structural relaxation.

CIF file:
```
data_Cd2InHg
_chemical_formula_sum 'Cd4 In2 Hg2'
_space_group_name_H-M_alt 'C 1 m 1'
_space_group_IT_number 8
_cell_length_a 10.884
_cell_length_b 3.411
_cell_length_c 5.314
_cell_angle_alpha 90.00
_cell_angle_beta 97.72
_cell_angle_gamma 90.00
loop_
_space_group_symop_operation_xyz
'x,y,z'
'x,-y,z'
'x+1/2,y+1/2,z'
'x+1/2,-y+1/2,z'
loop_
_atom_site_label
_atom_site_type_symbol
_atom_site_fract_x
_atom_site_fract_y
_atom_site_fract_z
Cd1 Cd 0.000 0.000 0.000
Cd2 Cd 0.246 0.500 0.248
In1 In 0.494 0.000 0.497
Hg1 Hg 0.248 0.000 0.756
```

For the total energy, the calculation gives -1.192 eV/atom. For the calculated formation energy, the calculation gives 25 meV per atom. For the density of states at the Fermi level, the calculation gives 0.30 states/eV per atom. The volume is 24.44 Å³/atom. For the energy relative to the lowest polymorph listed for this composition, the calculation gives 0.0064 eV per atom.